(1)
Material: Ti2InAsRh
Method: DFT, PBE
State: optimized geometry

Cell lengths 4.976, 4.804, 4.976 Å; angles 90.00, 90.00, 90.00 degrees
Fractional coordinates of all 5 atoms:
As  0.500  0.500  0.500
Ti  0.000  0.000  0.500
Ti  0.500  0.000  0.000
Rh  0.000  0.500  0.000
In  0.000  0.000  0.000

Output
**M_tot**: 0.00 μB per cell
**Total energy**: -4.9748 eV per atom
**Space group**: P4/mmm (123)
**E_form**: 109 kJ/mol of atoms

(2)
Material: InAsRu2
Method: DFT, PBE
State: optimized geometry

Cell lengths 3.077, 3.077, 6.602 Å; angles 90.00, 90.00, 89.99 degrees
Fractional coordinates of all 4 atoms:
Ru  0.000  0.000  0.031
Ru  0.000  0.000  0.469
As  0.500  0.500  0.250
In  0.500  0.500  0.750

Output
**M_tot**: 0.00 μB per cell
**Total energy**: -6.5405 eV per atom
**Space group**: P4/mmm (123)
**E_form**: -5 kJ/mol of atoms

(3)
Material: In2AsRu
Method: DFT, PBE
State: optimized geometry

Cell lengths 3.092, 3.092, 8.537 Å; angles 90.00, 90.00, 89.98 degrees
Fractional coordinates of all 4 atoms:
Ru  0.000  0.000  0.529
As  0.500  0.500  0.683
In  0.000  0.000  0.988
In  0.500  0.500  0.299

Output
**M_tot**: 0.00 μB per cell
**Total energy**: -4.9108 eV per atom
**Space group**: P4mm (99)
**E_form**: -6 kJ/mol of atoms

(4)
Material: InAsRu2
Method: DFT, PBE
State: optimized geometry

Cell lengths 8.719, 8.719, 8.719 Å; angles 20.04, 20.04, 20.04 degrees
Last column: magnetic moment on the atom in μB.
Fractional coordinates of all 4 atoms:
Ru  0.995  0.995  0.995  0.47
Ru  0.247  0.247  0.247  0.11
As  0.511  0.511  0.511  0.00
In  0.746  0.746  0.746  0.00

Output
**M_tot**: 0.59 μB per cell
**Total energy**: -6.2173 eV per atom
**Space group**: R3m (160)
**E_form**: 26 kJ/mol of atoms

(5)
Material: InAs2Ru
Method: DFT, PBE
State: optimized geometry

Cell lengths 9.202, 9.202, 9.202 Å; angles 19.62, 19.62, 19.62 degrees
Fractional coordinates of all 4 atoms:
Ru  0.744  0.744  0.744
As  0.016  0.016  0.016
As  0.248  0.248  0.248
In  0.492  0.492  0.492

Output
**M_tot**: 0.00 μB per cell
**Total energy**: -5.2261 eV per atom
**Space group**: R3m (160)
**E_form**: 10 kJ/mol of atoms

(6)
Material: InAs2Ru
Method: DFT, PBE
State: optimized geometry

Cell lengths 3.038, 3.038, 8.116 Å; angles 90.00, 90.00, 90.00 degrees
Fractional coordinates of all 4 atoms:
Ru  0.500  0.500  0.773
As  0.000  0.000  0.941
As  0.500  0.500  0.254
In  0.000  0.000  0.533

Output
**M_tot**: 0.00 μB per cell
**Total energy**: -5.2571 eV per atom
**Space group**: P4mm (99)
**E_form**: 7 kJ/mol of atoms

(7)
Material: InAsRu2
Method: DFT, PBE
State: optimized geometry

Cell lengths 4.446, 4.440, 3.177 Å; angles 90.00, 90.00, 90.00 degrees
Fractional coordinates of all 4 atoms:
Ru  0.000  0.000  0.000
Ru  0.500  0.500  0.000
As  0.500  0.000  0.500
In  0.000  0.500  0.500

Output
**M_tot**: 0.00 μB per cell
**Total energy**: -6.4068 eV per atom
**Space group**: P4/mmm (123)
**E_form**: 8 kJ/mol of atoms

(8)
Material: InAsRu2
Method: DFT, PBE
State: optimized geometry

Cell lengths 2.945, 2.945, 7.982 Å; angles 90.00, 90.00, 90.00 degrees
Fractional coordinates of all 4 atoms:
Ru  0.000  0.000  0.029
Ru  0.500  0.500  0.246
As  0.000  0.000  0.438
In  0.500  0.500  0.787

Output
**M_tot**: 0.00 μB per cell
**Total energy**: -6.3851 eV per atom
**Space group**: P4mm (99)
**E_form**: 10 kJ/mol of atoms